A relaxed structure of MgCd, computed with PBE-GGA.

Results
Total DFT energy (no corrections) ... -1.27 eV/atom

Geometry as extended XYZ:
```
8
Lattice="3.161 0.000 0.000 0.000 5.070 0.000 0.000 0.000 10.706" Properties=species:S:1:pos:R:3 pbc="T T T"
Mg 0.790 1.268 0.446
Mg 0.790 3.803 2.266
Mg 2.370 1.268 8.440
Mg 2.370 3.803 10.260
Cd 0.790 1.268 5.824
Cd 0.790 3.803 7.648
Cd 2.370 1.268 3.058
Cd 2.370 3.803 4.883
```

A relaxed structure of Mg2Cd, computed with PBE-GGA.

Results
Total DFT energy (no corrections) ... -1.40 eV/atom

Geometry as extended XYZ:
```
6
Lattice="1.584 -8.007 0.000 1.584 8.007 0.000 0.000 0.000 5.067" Properties=species:S:1:pos:R:3 pbc="T T T"
Mg 1.584 6.296 3.800
Mg 1.584 4.448 1.267
Mg 1.584 -4.448 3.800
Mg 1.584 -6.296 1.267
Cd 1.584 0.940 3.800
Cd 1.584 -0.940 1.267
```

A relaxed structure of MgCd, computed with PBE-GGA.

Results
Total DFT energy (no corrections) ... -1.29 eV/atom

Geometry as extended XYZ:
```
12
Lattice="6.300 0.000 0.000 0.000 5.097 0.000 -1.580 0.000 7.938" Properties=species:S:1:pos:R:3 pbc="T T T"
Mg -0.002 1.274 0.872
Mg 0.000 3.822 4.405
Mg 1.576 1.274 3.541
Mg 3.144 3.822 4.397
Mg 4.720 1.274 3.533
Mg 4.722 3.822 7.066
Cd -0.038 1.274 6.121
Cd 1.539 3.822 1.824
Cd 1.569 3.822 7.029
Cd 3.151 1.274 0.908
Cd 3.181 1.274 6.113
Cd 4.758 3.822 1.817
```

A relaxed structure of Mg2Cd, computed with PBE-GGA.

Results
Total DFT energy (no corrections) ... -1.35 eV/atom

Geometry as extended XYZ:
```
12
Lattice="0.000 4.948 9.674 2.826 0.000 9.674 2.826 4.948 0.000" Properties=species:S:1:pos:R:3 pbc="T T T"
Mg 0.706 1.237 0.890
Mg 0.706 1.237 3.947
Mg 2.119 2.020 7.255
Mg 3.532 4.494 12.092
Mg 2.119 5.402 7.255
Mg 3.532 7.875 12.092
Mg 4.945 8.658 15.401
Mg 4.945 8.658 18.458
Cd 2.119 3.711 4.843
Cd 2.119 3.711 9.667
Cd 3.532 6.185 9.680
Cd 3.532 6.185 14.504
```

A relaxed structure of Mg4Cd3, computed with PBE-GGA.

Results
Total DFT energy (no corrections) ... -1.33 eV/atom

Geometry as extended XYZ:
```
14
Lattice="8.229 0.000 0.000 -4.114 7.126 0.000 0.000 0.000 5.124" Properties=species:S:1:pos:R:3 pbc="T T T"
Mg -1.135 3.359 1.281
Mg 0.000 4.751 3.843
Mg -0.638 6.430 1.281
Mg 2.341 2.663 3.843
Mg 1.773 4.464 1.281
Mg 4.752 0.696 3.843
Mg 4.114 2.375 1.281
Mg 5.250 3.767 3.843
Cd -0.598 1.766 3.843
Cd -2.286 6.761 3.843
Cd 1.231 1.401 1.281
Cd 2.884 5.726 3.843
Cd 6.400 0.366 1.281
Cd 4.712 5.360 1.281
```

A relaxed structure of Mg4Cd3, computed with PBE-GGA.

Results
Total DFT energy (no corrections) ... -1.35 eV/atom

Geometry as extended XYZ:
```
14
Lattice="8.265 0.000 0.000 -4.133 7.158 0.000 0.000 0.000 5.025" Properties=species:S:1:pos:R:3 pbc="T T T"
Mg -2.999 5.732 1.256
Mg 0.668 1.695 1.256
Mg 1.802 0.269 3.768
Mg 0.000 4.772 1.256
Mg 4.133 2.386 3.768
Mg 2.331 6.889 1.256
Mg 3.464 5.463 3.768
Mg 7.132 1.426 3.768
Cd -1.822 4.444 3.768
Cd 1.195 3.358 3.768
Cd 3.505 0.645 1.256
Cd 0.627 6.513 3.768
Cd 2.938 3.800 1.256
Cd 5.954 2.714 1.256
```

> Which formula does entry 4 have?

Mg2Cd